The following is a GGA-PBE calculation of a relaxed structure of Ce4As2SeN2, from the Alexandria database.

## Properties
Density of states at the Fermi level = 1.69 states/eV/atom
Total DFT energy (no corrections) = -7.3731 eV/atom
Energy relative to the elements, uncorrected = -1.465 eV per atom
Crystal system = monoclinic

POSCAR file:
```
Ce4As2SeN2
1.0
3.9373 0.0000 0.0000
-1.9687 7.6111 -0.2040
0.0000 -2.8184 6.7886
Ce Se As N
4 1 2 2
Cartesian
0.0000 2.8644 1.1033
1.9687 1.9283 5.4813
0.0000 6.4567 1.5783
1.9687 -1.6640 5.0063
0.0000 0.0000 0.0000
1.9687 4.3645 2.9619
0.0000 0.4282 3.6226
1.9687 -0.0991 6.5932
0.0000 4.8918 -0.0087
```